(1)
Material: Sr2YCdIn
Method: DFT, PBE
State: relaxed

As for the formation energy from the elements: 0.210 eV per atom. The value obtained for the final energy is -2.4865 eV/atom. For the density of states at the Fermi level, the calculation gives 9.5 states/eV/cell.

```
data_Sr2YCdIn
_chemical_formula_sum 'Sr2 Y1 Cd1 In1'
_space_group_name_H-M_alt 'P 4/m m m'
_space_group_IT_number 123
_space_group_name_Hall '-P 4 2'
_cell_length_a 6.175
_cell_length_b 6.175
_cell_length_c 5.700
_cell_angle_alpha 90.00
_cell_angle_beta 90.00
_cell_angle_gamma 90.00
loop_
_atom_site_label
_atom_site_type_symbol
_atom_site_fract_x
_atom_site_fract_y
_atom_site_fract_z
Sr1 Sr 0.000 0.500 0.000
Y1 Y 0.000 0.000 0.500
Cd1 Cd 0.000 0.000 0.000
In1 In 0.500 0.500 0.500
```



(2)
Material: Sr2ZnCdIn6
Method: DFT, PBE
State: relaxed

As for the formation energy from the elements: -0.143 eV per atom. The value obtained for the final energy is -2.3414 eV/atom. For the density of states at the Fermi level, the calculation gives 23.4 states/eV/cell.

```
data_Sr2ZnCdIn6
_chemical_formula_sum 'Sr12 Zn6 Cd6 In36'
_space_group_name_H-M_alt 'R -3 m'
_space_group_IT_number 166
_space_group_name_Hall '-R 3 2"'
_cell_length_a 7.2203
_cell_length_b 7.2203
_cell_length_c 39.4828
_cell_angle_alpha 90.00
_cell_angle_beta 90.00
_cell_angle_gamma 120.00
loop_
_atom_site_label
_atom_site_type_symbol
_atom_site_fract_x
_atom_site_fract_y
_atom_site_fract_z
Sr1 Sr 0.0000 0.0000 0.1062
Sr2 Sr 0.0000 0.0000 0.2792
Zn1 Zn 0.0000 0.0000 0.0000
Zn2 Zn 0.0000 0.0000 0.5000
Cd1 Cd 0.0000 0.0000 0.4259
In1 In 0.0473 0.5236 0.3020
In2 In 0.0580 0.5290 0.8645
```



(3)
Material: Sr2ZnCd6In
Method: DFT, PBE
State: relaxed

As for the formation energy from the elements: -0.153 eV per atom. The value obtained for the final energy is -1.4395 eV/atom. For the density of states at the Fermi level, the calculation gives 28.3 states/eV/cell.

```
data_Sr2ZnCd6In
_chemical_formula_sum 'Sr12 Zn6 Cd36 In6'
_space_group_name_H-M_alt 'R -3 m'
_space_group_IT_number 166
_space_group_name_Hall '-R 3 2"'
_cell_length_a 7.1446
_cell_length_b 7.1446
_cell_length_c 37.8153
_cell_angle_alpha 90.00
_cell_angle_beta 90.00
_cell_angle_gamma 120.00
loop_
_atom_site_label
_atom_site_type_symbol
_atom_site_fract_x
_atom_site_fract_y
_atom_site_fract_z
Sr1 Sr 0.0000 0.0000 0.1050
Sr2 Sr 0.0000 0.0000 0.2779
Zn1 Zn 0.0000 0.0000 0.0000
Zn2 Zn 0.0000 0.0000 0.5000
Cd1 Cd 0.0540 0.5270 0.3056
Cd2 Cd 0.0633 0.5316 0.8611
In1 In 0.0000 0.0000 0.4247
```



(4)
Material: Sr2Zn3CdIn4
Method: DFT, PBE
State: relaxed

As for the formation energy from the elements: -0.270 eV per atom. The value obtained for the final energy is -2.1756 eV/atom. For the density of states at the Fermi level, the calculation gives 5.6 states/eV/cell.

```
data_Sr2Zn3CdIn4
_chemical_formula_sum 'Sr2 Zn3 Cd1 In4'
_space_group_name_H-M_alt 'P -4 m 2'
_space_group_IT_number 115
_cell_length_a 4.677
_cell_length_b 4.677
_cell_length_c 11.718
_cell_angle_alpha 90.00
_cell_angle_beta 90.00
_cell_angle_gamma 90.00
loop_
_space_group_symop_operation_xyz
'x,y,z'
'y,-x,-z'
'-x,-y,z'
'-y,x,-z'
'-x,y,z'
'-y,-x,-z'
'x,-y,z'
'y,x,-z'
loop_
_atom_site_label
_atom_site_type_symbol
_atom_site_fract_x
_atom_site_fract_y
_atom_site_fract_z
Sr1 Sr 0.000 0.500 0.249
Zn1 Zn 0.000 0.500 0.865
Zn2 Zn 0.500 0.500 0.500
Cd1 Cd 0.000 0.000 0.500
In1 In 0.000 0.000 0.000
In2 In 0.000 0.500 0.639
In3 In 0.500 0.500 0.000
```



(5)
Material: SrZnCd2In
Method: DFT, PBE
State: relaxed

As for the formation energy from the elements: -0.048 eV per atom. The calculation puts the energy above the lowest structure with this stoichiometry at 222.6 meV per atom. The value obtained for the final energy is -1.5528 eV/atom. For the density of states at the Fermi level, the calculation gives 3.2 states/eV/cell.

```
data_SrZnCd2In
_chemical_formula_sum 'Sr1 Zn1 Cd2 In1'
_space_group_name_H-M_alt 'P 4/m m m'
_space_group_IT_number 123
_space_group_name_Hall '-P 4 2'
_cell_length_a 5.221
_cell_length_b 5.221
_cell_length_c 5.257
_cell_angle_alpha 90.00
_cell_angle_beta 90.00
_cell_angle_gamma 90.00
loop_
_atom_site_label
_atom_site_type_symbol
_atom_site_fract_x
_atom_site_fract_y
_atom_site_fract_z
Sr1 Sr 0.000 0.000 0.000
Zn1 Zn 0.500 0.500 0.500
Cd1 Cd 0.000 0.500 0.500
In1 In 0.500 0.500 0.000
```



(6)
Material: Sr2ZnCd3In4
Method: DFT, PBE
State: relaxed

As for the formation energy from the elements: -0.259 eV per atom. The value obtained for the final energy is -2.0923 eV/atom. For the density of states at the Fermi level, the calculation gives 5.9 states/eV/cell.

```
data_Sr2ZnCd3In4
_chemical_formula_sum 'Sr2 Zn1 Cd3 In4'
_space_group_name_H-M_alt 'P -4 m 2'
_space_group_IT_number 115
_cell_length_a 4.680
_cell_length_b 4.680
_cell_length_c 12.530
_cell_angle_alpha 90.00
_cell_angle_beta 90.00
_cell_angle_gamma 90.00
loop_
_space_group_symop_operation_xyz
'x,y,z'
'y,-x,-z'
'-x,-y,z'
'-y,x,-z'
'-x,y,z'
'-y,-x,-z'
'x,-y,z'
'y,x,-z'
loop_
_atom_site_label
_atom_site_type_symbol
_atom_site_fract_x
_atom_site_fract_y
_atom_site_fract_z
Sr1 Sr 0.000 0.500 0.238
Zn1 Zn 0.500 0.500 0.000
Cd1 Cd 0.000 0.000 0.000
Cd2 Cd 0.000 0.500 0.646
In1 In 0.000 0.000 0.500
In2 In 0.000 0.500 0.871
In3 In 0.500 0.500 0.500
```



(7)
Material: Sr3ZnCd6In2
Method: DFT, PBE
State: relaxed

As for the formation energy from the elements: -0.179 eV per atom. The value obtained for the final energy is -1.6200 eV/atom. For the density of states at the Fermi level, the calculation gives 8.5 states/eV/cell.

```
data_Sr3ZnCd6In2
_chemical_formula_sum 'Sr3 Zn1 Cd6 In2'
_space_group_name_H-M_alt 'P -3 m 1'
_space_group_IT_number 164
_space_group_name_Hall '-P 3 2"'
_cell_length_a 6.0278
_cell_length_b 6.0278
_cell_length_c 10.6560
_cell_angle_alpha 90.00
_cell_angle_beta 90.00
_cell_angle_gamma 120.00
loop_
_atom_site_label
_atom_site_type_symbol
_atom_site_fract_x
_atom_site_fract_y
_atom_site_fract_z
Sr1 Sr 0.0000 0.0000 0.0000
Sr2 Sr 0.3333 0.6667 0.5746
Zn1 Zn 0.0000 0.0000 0.5000
Cd1 Cd 0.1690 0.3380 0.2710
In1 In 0.3333 0.6667 0.9169
```



(8)
Material: SrZnCd2In
Method: DFT, PBE
State: relaxed

As for the formation energy from the elements: -0.271 eV per atom. The calculation puts the energy above the lowest structure with this stoichiometry at 0.0 meV per atom. The value obtained for the final energy is -1.7754 eV/atom. For the density of states at the Fermi level, the calculation gives 4.7 states/eV/cell.

```
data_SrZnCd2In
_chemical_formula_sum 'Sr2 Zn2 Cd4 In2'
_space_group_name_H-M_alt 'I m m 2'
_space_group_IT_number 44
_cell_length_a 4.592
_cell_length_b 4.616
_cell_length_c 12.200
_cell_angle_alpha 90.00
_cell_angle_beta 90.00
_cell_angle_gamma 90.00
loop_
_space_group_symop_operation_xyz
'x,y,z'
'-x,-y,z'
'-x,y,z'
'x,-y,z'
'x+1/2,y+1/2,z+1/2'
'-x+1/2,-y+1/2,z+1/2'
'-x+1/2,y+1/2,z+1/2'
'x+1/2,-y+1/2,z+1/2'
loop_
_atom_site_label
_atom_site_type_symbol
_atom_site_fract_x
_atom_site_fract_y
_atom_site_fract_z
Sr1 Sr 0.000 0.000 0.000
Zn1 Zn 0.000 0.000 0.392
Cd1 Cd 0.000 0.000 0.609
Cd2 Cd 0.000 0.500 0.262
In1 In 0.000 0.500 0.761
```



(9)
Material: SrZrCdIn2
Method: DFT, PBE
State: relaxed

As for the formation energy from the elements: 1.260 eV per atom. The value obtained for the final energy is -2.0645 eV/atom. For the density of states at the Fermi level, the calculation gives 5.9 states/eV/cell.

```
data_SrZrCdIn2
_chemical_formula_sum 'Sr1 Zr1 Cd1 In2'
_space_group_name_H-M_alt 'P 4/m m m'
_space_group_IT_number 123
_space_group_name_Hall '-P 4 2'
_cell_length_a 5.942
_cell_length_b 5.942
_cell_length_c 5.464
_cell_angle_alpha 90.00
_cell_angle_beta 90.00
_cell_angle_gamma 90.00
loop_
_atom_site_label
_atom_site_type_symbol
_atom_site_fract_x
_atom_site_fract_y
_atom_site_fract_z
Sr1 Sr 0.000 0.000 0.000
Zr1 Zr 0.000 0.000 0.500
Cd1 Cd 0.500 0.500 0.500
In1 In 0.000 0.500 0.000
```



(10)
Material: SrZr2CdIn
Method: DFT, PBE
State: relaxed

As for the formation energy from the elements: 1.545 eV per atom. The value obtained for the final energy is -2.9410 eV/atom. For the density of states at the Fermi level, the calculation gives 8.3 states/eV/cell.

```
data_SrZr2CdIn
_chemical_formula_sum 'Sr1 Zr2 Cd1 In1'
_space_group_name_H-M_alt 'P 4/m m m'
_space_group_IT_number 123
_space_group_name_Hall '-P 4 2'
_cell_length_a 5.283
_cell_length_b 5.283
_cell_length_c 5.570
_cell_angle_alpha 90.00
_cell_angle_beta 90.00
_cell_angle_gamma 90.00
loop_
_atom_site_label
_atom_site_type_symbol
_atom_site_fract_x
_atom_site_fract_y
_atom_site_fract_z
Sr1 Sr 0.000 0.000 0.000
Zr1 Zr 0.000 0.500 0.000
Cd1 Cd 0.000 0.000 0.500
In1 In 0.500 0.500 0.500
```